First-principles (PBE) data for a geometry-optimized PmInGeAu structure, as listed in Alexandria.

Computed properties:
Its calculated formation energy is -0.4443 eV per atom.

Cell lengths 7.162, 7.162, 7.162 Å; angles 90.00, 90.00, 90.00 degrees
Space group F-43m (No. 216)
One atom of each set of equivalent atoms:
Pm 0.000 0.000 0.000
In 0.000 0.000 0.500
Ge 0.250 0.250 0.250
Au 0.250 0.250 0.750